{"formula": "Be2PSe", "functional": "PBE-GGA", "state": "optimized geometry", "cell": [[-0.103, -1.364, -2.732], [-2.798, -2.108, 1.158], [-3.646, 3.858, -1.789]], "species": ["P", "Se", "Be", "Be"], "frac_coords": [[0.500, 0.000, 0.564], [0.000, 0.500, 0.055], [0.000, 0.000, 0.278], [0.500, 0.500, 0.757]], "spacegroup": "Pmm2, No. 25", "final_energy_ev_per_atom": -4.426}